Entry 1:
Below is a relaxed Pr2HgBi4 crystal, with properties calculated at the PBE level.

a = 4.656 Å, b = 4.656 Å, c = 10.362 Å
α = 90.00°, β = 90.00°, γ = 90.00°
Space group P-4m2 (No. 115)
One atom of each set of equivalent atoms:
1 Pr 0.000 0.500 0.248 x2
2 Hg 0.500 0.500 0.000 x1
3 Bi 0.000 0.000 0.500 x1
4 Bi 0.000 0.500 0.816 x2
5 Bi 0.500 0.500 0.500 x1

Calculated values
ΔE_f: -542 meV/atom
DOS at the Fermi energy: 2.805 states/eV/cell

Entry 2:
Below is a relaxed Ca3Ga4Ge2 crystal, with properties calculated at the PBE level.

a = 11.500 Å, b = 4.260 Å, c = 8.532 Å
α = 90.00°, β = 99.55°, γ = 90.00°
Space group C2/m (No. 12)
One atom of each set of equivalent atoms:
1 Ca 0.000 0.000 0.000 x2
2 Ca 0.175 0.500 0.661 x4
3 Ga 0.024 0.000 0.363 x4
4 Ga 0.240 0.500 0.068 x4
5 Ge 0.118 0.500 0.286 x4

Calculated values
ΔE_f: -513 meV/atom
DOS at the Fermi energy: 4.914 states/eV/cell

Entry 3:
Below is a relaxed SrYAs crystal, with properties calculated at the PBE level.

a = 4.2092 Å, b = 4.2092 Å, c = 6.9522 Å
α = 90.00°, β = 90.00°, γ = 120.00°
Space group P3m1 (No. 156)
One atom of each set of equivalent atoms:
1 Sr 0.0000 0.0000 0.0000 x1
2 Y 0.6667 0.3333 0.5059 x1
3 As 0.3333 0.6667 0.7121 x1

Calculated values
ΔE_f: -833 meV/atom
DOS at the Fermi energy: 1.571 states/eV/cell

Entry 4:
Below is a relaxed RbInO2 crystal, with properties calculated at the PBE level.

a = 3.3804 Å, b = 3.3804 Å, c = 19.6874 Å
α = 90.00°, β = 90.00°, γ = 120.00°
Space group R3m (No. 160, hexagonal axes)
One atom of each set of equivalent atoms:
1 Rb 0.0000 0.0000 0.0000 x3
2 In 0.0000 0.0000 0.8302 x3
3 O 0.0000 0.0000 0.2219 x3
4 O 0.0000 0.0000 0.4380 x3

Calculated values
DOS at the Fermi energy: 0.000 states/eV/cell
Raw formation energy: -5.87 eV per formula unit

Entry 5:
Below is a relaxed Rb4InCl7 crystal, with properties calculated at the PBE level.

a = 16.634 Å, b = 5.298 Å, c = 10.872 Å
α = 90.00°, β = 105.85°, γ = 90.00°
Space group C2/m (No. 12)
One atom of each set of equivalent atoms:
1 Rb 0.015 0.000 0.206 x4
2 Rb 0.248 0.000 0.811 x4
3 In 0.000 0.500 0.500 x2
4 Cl 0.000 0.000 0.500 x2
5 Cl 0.108 0.500 0.713 x4
6 Cl 0.111 0.500 0.381 x4
7 Cl 0.149 0.000 0.041 x4

Calculated values
DOS at the Fermi energy: 0.000 states/eV/cell
Raw formation energy: -20.01 eV per formula unit

Entry 6:
Below is a relaxed NaMoN2 crystal, with properties calculated at the PBE level.

a = 3.0327 Å, b = 3.0327 Å, c = 20.1354 Å
α = 90.00°, β = 90.00°, γ = 120.00°
Space group R-3m (No. 166, hexagonal axes)
One atom of each set of equivalent atoms:
1 Na 0.0000 0.0000 0.0000 x3
2 Mo 0.0000 0.0000 0.5000 x3
3 N 0.0000 0.0000 0.1100 x6

Calculated values
Relative energy among the computed polymorphs: 374 meV/atom
DOS at the Fermi energy: 10.010 states/eV/cell
Raw formation energy: 0.03 eV per formula unit

Entry 7:
Below is a relaxed BaIn2ReOs crystal, with properties calculated at the PBE level.

a = 5.210 Å, b = 5.210 Å, c = 5.743 Å
α = 90.00°, β = 90.00°, γ = 90.00°
Space group P4/mmm (No. 123)
One atom of each set of equivalent atoms:
1 Ba 0.000 0.000 0.000 x1
2 In 0.000 0.500 0.500 x2
3 Re 0.500 0.500 0.000 x1
4 Os 0.000 0.000 0.500 x1

Calculated values
ΔE_f: 1332 meV/atom
DOS at the Fermi energy: 3.694 states/eV/cell

Entry 8:
Below is a relaxed LiAcPdRh crystal, with properties calculated at the PBE level.

a = 6.907 Å, b = 6.907 Å, c = 6.907 Å
α = 90.00°, β = 90.00°, γ = 90.00°
Space group F-43m (No. 216)
One atom of each set of equivalent atoms:
1 Li 0.000 0.000 0.000 x4
2 Ac 0.000 0.000 0.500 x4
3 Pd 0.250 0.250 0.750 x4
4 Rh 0.250 0.250 0.250 x4

Calculated values
Relative energy among the computed polymorphs: 90 meV/atom
ΔE_f: -398 meV/atom
DOS at the Fermi energy: 9.821 states/eV/cell